Entry 1:
Here is a relaxed PmPrPbCl crystal from Alexandria via LeMat-Bulk. Energies are from GGA-PBE.

For the uncorrected formation energy, the calculation gives -3.5 eV/f.u.

The space group is F-43m (No. 216) and the conventional cell measures 7.6716, 7.6716 and 7.6716 Å, with angles of 90.00, 90.00 and 90.00 degrees. The asymmetric unit holds Pm at (0.0000, 0.0000, 0.0000), Pr at (0.0000, 0.0000, 0.5000), Pb at (0.2500, 0.2500, 0.2500) and Cl at (0.2500, 0.2500, 0.7500).

Entry 2:
Here is a relaxed YHoBe crystal from Alexandria via LeMat-Bulk. Energies are from GGA-PBE.

The value obtained for the energy above the lowest structure with this stoichiometry is 0 meV per atom. As for the formation energy: 0.0587 eV per atom.

The space group is Pnma (No. 62) and the conventional cell measures 6.7352, 4.8355 and 8.7092 Å, with angles of 90.00, 90.00 and 90.00 degrees. The asymmetric unit holds Y at (0.0145, 0.2500, 0.1839), Ho at (0.1567, 0.2500, 0.5800) and Be at (0.2368, 0.2500, 0.9015).

Entry 3:
Here is a relaxed V2RhW2 crystal from Alexandria via LeMat-Bulk. Energies are from GGA-PBE.

The value obtained for the energy above the lowest structure with this stoichiometry is 255 meV per atom. As for the formation energy: 0.7088 eV per atom.

The space group is I4/mmm (No. 139) and the conventional cell measures 3.1161, 3.1161 and 15.9336 Å, with angles of 90.00, 90.00 and 90.00 degrees. The asymmetric unit holds V at (0.0000, 0.5000, 0.2500), Rh at (0.0000, 0.0000, 0.0000) and W at (0.0000, 0.0000, 0.3952).

Entry 4:
Here is a relaxed RbMg2GaNi crystal from Alexandria via LeMat-Bulk. Energies are from GGA-PBE.

As for the formation energy: -0.0148 eV per atom.

The space group is P4/mmm (No. 123) and the conventional cell measures 5.1007, 5.1007 and 4.7333 Å, with angles of 90.00, 90.00 and 90.00 degrees. The asymmetric unit holds Rb at (0.0000, 0.0000, 0.0000), Mg at (0.0000, 0.5000, 0.5000), Ga at (0.5000, 0.5000, 0.0000) and Ni at (0.5000, 0.5000, 0.5000).

Entry 5:
Here is a relaxed K2Nb2CrS6 crystal from Alexandria via LeMat-Bulk. Energies are from GGA-PBE.

For the uncorrected formation energy, the calculation gives -11.5 eV/f.u.

The space group is C2/m (No. 12) and the conventional cell measures 6.0392, 10.5623 and 7.9127 Å, with angles of 90.00, 103.45 and 90.00 degrees. The asymmetric unit holds K at (0.0000, 0.1782, 0.0000), Nb at (0.0000, 0.3604, 0.5000), Cr at (0.0000, 0.0000, 0.5000), S at (0.2146, 0.1651, 0.6780) and S at (0.2488, 0.0000, 0.2940).

Entry 6:
Here is a relaxed Li3AlIn4 crystal from Alexandria via LeMat-Bulk. Energies are from GGA-PBE.

As for the formation energy: -0.1646 eV per atom.

The space group is C2/m (No. 12) and the conventional cell measures 6.2298, 6.1897 and 9.0495 Å, with angles of 90.00, 109.10 and 90.00 degrees. The asymmetric unit holds Li at (0.0000, 0.0000, 0.0000), Li at (0.2485, 0.0000, 0.4960), Al at (0.0000, 0.5000, 0.0000) and In at (0.1225, 0.2495, 0.7479).

Taking the records one at a time from the top gives density values of 7.776, 6.155, 12.288, 3.539, 3.440, 5.107 Mg/m³.
Taking the records one at a time from the top gives DOS(E_F) values of 10.17, 5.75, 10.70, 1.89, 4.14, 6.33 states/eV/cell.
Taking the records one at a time from the top gives total magnetic moment values of 0.00, 0.00, 0.00, 0.00, 3.97, 0.00 Bohr magnetons per cell.